(1)
TaP2Se: optimized geometry, GGA-PBE.

a = 2.7761 Å, b = 2.7761 Å, c = 11.1236 Å
α = 90.00°, β = 90.00°, γ = 102.95°
With the nearest neighbours (Å) after each atom.
Element x y z (fractional)
P1 0.0000 0.0000 0.9224  2 Ta 2.58, 4 P 2.78
P2 0.0000 0.0000 0.5776  2 Ta 2.58, 4 P 2.78
Se1 0.5000 0.5000 0.2500  4 Se 2.78
Ta1 0.5000 0.5000 0.7500  4 P 2.58, 4 Ta 2.78

Values from the calculation:
* DFT total energy: -6.48 eV per atom
* M_tot: 0.0 μB/cell
* formation energy from raw total energies: 55 meV/atom

---

(2)
Ta2PSe: optimized geometry, GGA-PBE.

a = 5.8100 Å, b = 5.8100 Å, c = 5.8100 Å
α = 143.88°, β = 143.88°, γ = 52.01°
With the nearest neighbours (Å) after each atom.
Element x y z (fractional)
Ta1 0.0000 0.0000 0.0000  4 P 2.55
Ta2 0.2500 0.7500 0.5000  4 Se 2.55
P1 0.5000 0.5000 0.0000  4 Ta 2.55
Se1 0.7500 0.2500 0.5000  4 Ta 2.55

Values from the calculation:
* DFT total energy: -8.14 eV per atom
* M_tot: 0.0 μB/cell
* formation energy from raw total energies: 7 meV/atom
* polymorph energy (0 for the lowest one): 0.542 eV/atom

---

(3)
Ta2PSe: optimized geometry, GGA-PBE.

a = 8.5400 Å, b = 8.5400 Å, c = 8.5400 Å
α = 22.41°, β = 22.41°, γ = 22.41°
With the nearest neighbours (Å) after each atom.
Element x y z (fractional)
Ta1 0.9993 0.9993 0.9993  3 Se 2.59
Ta2 0.7545 0.7545 0.7545  3 P 2.47
P1 0.4833 0.4833 0.4833  3 Ta 2.47
Se1 0.2629 0.2629 0.2629  3 Ta 2.59

Values from the calculation:
* DFT total energy: -8.47 eV per atom
* M_tot: 0.0 μB/cell
* formation energy from raw total energies: -315 meV/atom
* polymorph energy (0 for the lowest one): 0.220 eV/atom

---

(4)
Ta3PSe: optimized geometry, GGA-PBE.

a = 4.6381 Å, b = 4.6381 Å, c = 4.6381 Å
α = 90.00°, β = 90.00°, γ = 90.00°
With the nearest neighbours (Å) after each atom.
Element x y z (fractional)
P1 0.0000 0.0000 0.0000  6 Ta 2.32
Se1 0.5000 0.5000 0.5000  12 Ta 3.28
Ta1 0.0000 0.5000 0.0000  2 P 2.32
Ta2 0.0000 0.0000 0.5000  2 P 2.32
Ta3 0.5000 0.0000 0.0000  2 P 2.32

Values from the calculation:
* DFT total energy: -8.28 eV per atom
* M_tot: 0.0 μB/cell
* formation energy from raw total energies: 612 meV/atom
* polymorph energy (0 for the lowest one): 0.000 eV/atom

---

(5)
Ta2PSe: optimized geometry, GGA-PBE.

a = 3.9423 Å, b = 3.9423 Å, c = 6.2341 Å
α = 73.34°, β = 73.34°, γ = 54.19°
With the nearest neighbours (Å) after each atom.
Element x y z (fractional)
Ta1 0.2349 0.2349 0.8239  3 P 2.45
Ta2 0.7651 0.7651 0.1761  3 P 2.45
P1 0.5000 0.5000 0.0000  6 Ta 2.45
Se1 0.0000 0.0000 0.5000  6 Ta 2.89-2.99

Values from the calculation:
* DFT total energy: -8.48 eV per atom
* M_tot: 0.0 μB/cell
* formation energy from raw total energies: -326 meV/atom
* polymorph energy (0 for the lowest one): 0.209 eV/atom

---

(6)
TaP2Se: optimized geometry, GGA-PBE.

a = 3.1665 Å, b = 4.2785 Å, c = 4.7927 Å
α = 90.00°, β = 90.00°, γ = 90.00°
With the nearest neighbours (Å) after each atom.
Element x y z (fractional)
P1 0.0000 0.0000 0.0000  4 P 2.66, 4 Se 2.87
P2 0.5000 0.5000 0.0000  4 P 2.66, 4 Ta 2.87
Se1 0.5000 0.0000 0.5000  4 Ta 2.66, 4 P 2.87
Ta1 0.0000 0.5000 0.5000  4 Se 2.66, 4 P 2.87

Values from the calculation:
* DFT total energy: -6.17 eV per atom
* M_tot: 0.0 μB/cell
* formation energy from raw total energies: 366 meV/atom

---

(7)
Ta2P2Se: optimized geometry, GGA-PBE.

a = 7.1008 Å, b = 7.1008 Å, c = 3.2714 Å
α = 90.00°, β = 90.00°, γ = 90.00°
With the nearest neighbours (Å) after each atom.
Element x y z (fractional)
P1 0.1348 0.6348 0.5000  6 Ta 2.60-2.72, 1 P 2.71
P2 0.6348 0.8652 0.5000  6 Ta 2.60-2.72, 1 P 2.71
P3 0.8652 0.3652 0.5000  6 Ta 2.60-2.72, 1 P 2.71
P4 0.3652 0.1348 0.5000  6 Ta 2.60-2.72, 1 P 2.71
Se1 0.0000 0.0000 0.0000  4 Ta 2.71
Se2 0.5000 0.5000 0.0000  4 Ta 2.71
Ta1 0.3507 0.8507 0.0000  6 P 2.60-2.72, 2 Se 2.71
Ta2 0.8507 0.6493 0.0000  6 P 2.60-2.72, 2 Se 2.71
Ta3 0.6493 0.1493 0.0000  6 P 2.60-2.72, 2 Se 2.71
Ta4 0.1493 0.3507 0.0000  6 P 2.60-2.72, 2 Se 2.71

Values from the calculation:
* DFT total energy: -8.13 eV per atom
* M_tot: 0.0 μB/cell
* formation energy from raw total energies: -524 meV/atom
* polymorph energy (0 for the lowest one): 0.000 eV/atom

---

(8)
TaP2Se: optimized geometry, GGA-PBE.

a = 4.7085 Å, b = 4.7085 Å, c = 3.7831 Å
α = 75.04°, β = 75.04°, γ = 112.66°
With the nearest neighbours (Å) after each atom.
Element x y z (fractional)
P1 0.0000 0.0000 0.0000  2 P 2.61, 2 Ta 2.61, 2 Se 2.61
P2 0.5000 0.5000 0.0000  2 P 2.61, 2 Se 2.61, 2 Ta 2.61
Se1 0.5000 0.0000 0.5000  2 Ta 2.61, 4 P 2.61
Ta1 0.0000 0.5000 0.5000  2 Se 2.61, 4 P 2.61

Values from the calculation:
* DFT total energy: -6.35 eV per atom
* M_tot: 0.0 μB/cell
* formation energy from raw total energies: 192 meV/atom